Below is crystalline SmAl2Cu4 at its relaxed geometry, with properties calculated at the PBE-GGA level.

Computed properties:
space group: I4/mmm (139)
DOS(E_F): 0.574 states/eV/atom
DFT formation energy: -0.33 eV per atom

Lattice parameters (Å, degrees): 5.250 5.250 5.250 104.11 104.11 120.83
Positions (direct):
1 Sm 0.000 0.000 0.000
2 Al 0.250 0.750 0.500
3 Al 0.750 0.250 0.500
4 Cu 0.309 0.309 0.619
5 Cu 0.309 0.691 0.000
6 Cu 0.691 0.309 0.000
7 Cu 0.691 0.691 0.381


Below is crystalline SmAl12Cu6 at its relaxed geometry, with properties calculated at the PBE-GGA level.

Computed properties:
space group: R-3m (166)
DOS(E_F): 0.318 states/eV/atom
DFT formation energy: -0.11 eV per atom

Lattice parameters (Å, degrees): 7.094 7.094 7.094 104.98 104.98 104.98
Positions (direct):
1 Sm 0.000 0.000 0.000
2 Al 0.116 0.500 0.884
3 Al 0.116 0.884 0.500
4 Al 0.158 0.413 0.413
5 Al 0.413 0.158 0.413
6 Al 0.413 0.413 0.158
7 Al 0.500 0.116 0.884
8 Al 0.500 0.884 0.116
9 Al 0.587 0.587 0.842
10 Al 0.587 0.842 0.587
11 Al 0.842 0.587 0.587
12 Al 0.884 0.116 0.500
13 Al 0.884 0.500 0.116
14 Cu 0.267 0.267 0.712
15 Cu 0.267 0.712 0.267
16 Cu 0.288 0.733 0.733
17 Cu 0.712 0.267 0.267
18 Cu 0.733 0.288 0.733
19 Cu 0.733 0.733 0.288


Q: The lowest DFT formation energy belongs to which entry?
A: SmAl2Cu4


Q: Which of these has the lowest DFT formation energy?
A: SmAl2Cu4